Entry 1:
Crystalline InIr2Br at its relaxed geometry. Source: Alexandria, functional GGA-PBE.

The structure in POSCAR format:
```
InIr2Br
1.0
3.046 -0.002 0.000
-1.582 2.604 0.000
0.000 0.000 9.067
Ir Br In
2 1 1
direct
0.000 0.000 0.997
0.000 0.000 0.503
0.500 0.500 0.250
0.500 0.500 0.750
```

Summary:
Formation energy without anion corrections: 661.7 meV per atom
Energy relative to the lowest polymorph listed for this composition: 35.7 kJ/mol of atoms
Uncorrected energy: -4.87 eV per atom

Entry 2:
Crystalline Ta2IrPb at its relaxed geometry. Source: Alexandria, functional GGA-PBE.

The structure in POSCAR format:
```
Ta2IrPb
1.0
2.968 0.000 0.000
0.000 4.053 0.000
0.000 0.000 6.256
Ir Pb Ta
1 1 2
direct
0.500 0.500 0.250
0.500 0.500 0.750
0.000 0.000 0.036
0.000 0.000 0.464
```

Summary:
Uncorrected energy: -8.94 eV per atom

Entry 3:
Crystalline LiNd2Ge at its relaxed geometry. Source: Alexandria, functional GGA-PBE.

The structure in POSCAR format:
```
LiNd2Ge
1.0
4.135 0.000 0.000
0.000 4.929 0.000
0.000 0.000 4.929
Ge Nd Li
1 2 1
direct
0.500 0.000 0.000
0.000 0.000 0.500
0.000 0.500 0.000
0.500 0.500 0.500
```

Summary:
Uncorrected energy: -4.42 eV per atom